Material: DyTm2Zr
Method: DFT, GGA-PBE
State: relaxed

a = 11.3646 Å, b = 11.3646 Å, c = 11.3646 Å
α = 17.27°, β = 17.27°, γ = 17.27°
Fractional coordinates of all 4 atoms:
1 Dy 0.0000 0.0000 0.0000
2 Tm 0.2451 0.2451 0.2451
3 Tm 0.7549 0.7549 0.7549
4 Zr 0.5000 0.5000 0.5000

Summary:
- Relative energy among the computed polymorphs: 0.013 eV/atom
- M_tot: 0.00 μB/f.u.
- DFT total energy: -5.453 eV/atom
- Volume: 112.88 Å³/cell
- Energy of formation: 0.070 eV per atom



Material: DyTm14Zr
Method: DFT, GGA-PBE
State: relaxed

a = 6.9436 Å, b = 6.9436 Å, c = 9.7744 Å
α = 90.00°, β = 90.00°, γ = 90.00°
Fractional coordinates of all 16 atoms:
1 Dy 0.0000 0.0000 0.0000
2 Tm 0.0000 0.0000 0.5000
3 Tm 0.0000 0.5000 0.0000
4 Tm 0.0000 0.5000 0.5000
5 Tm 0.2546 0.2546 0.2453
6 Tm 0.2546 0.2546 0.7547
7 Tm 0.2546 0.7454 0.2453
8 Tm 0.2546 0.7454 0.7547
9 Tm 0.5000 0.0000 0.0000
10 Tm 0.5000 0.0000 0.5000
11 Tm 0.5000 0.5000 0.5000
12 Tm 0.7454 0.2546 0.2453
13 Tm 0.7454 0.2546 0.7547
14 Tm 0.7454 0.7454 0.2453
15 Tm 0.7454 0.7454 0.7547
16 Zr 0.5000 0.5000 0.0000

Summary:
- M_tot: 0.00 μB/f.u.
- DFT total energy: -4.698 eV/atom
- Volume: 471.25 Å³/cell
- Energy of formation: 0.036 eV per atom



Material: DyTm2Zr
Method: DFT, GGA-PBE
State: relaxed

a = 11.2351 Å, b = 11.2351 Å, c = 11.2351 Å
α = 17.60°, β = 17.60°, γ = 17.60°
Fractional coordinates of all 4 atoms:
1 Dy 0.0000 0.0000 0.0000
2 Tm 0.5782 0.5782 0.5782
3 Tm 0.7541 0.7541 0.7541
4 Zr 0.1659 0.1659 0.1659

Summary:
- Relative energy among the computed polymorphs: 0.003 eV/atom
- M_tot: 0.00 μB/f.u.
- DFT total energy: -5.464 eV/atom
- Volume: 113.22 Å³/cell
- Energy of formation: 0.059 eV per atom



Material: Dy4U
Method: DFT, GGA-PBE
State: relaxed

a = 5.5511 Å, b = 5.5511 Å, c = 5.5511 Å
α = 90.00°, β = 90.00°, γ = 90.00°
Fractional coordinates of all 5 atoms:
1 Dy 0.0000 0.0000 0.0000
2 Dy 0.0000 0.5000 0.5000
3 Dy 0.5000 0.0000 0.5000
4 Dy 0.5000 0.5000 0.0000
5 U 0.5000 0.5000 0.5000

Summary:
- M_tot: 4.75 μB/f.u.
- DFT total energy: -5.110 eV/atom
- Volume: 171.05 Å³/cell
- Energy of formation: 0.829 eV per atom



Material: DyU6
Method: DFT, GGA-PBE
State: relaxed

a = 6.1626 Å, b = 6.1626 Å, c = 6.1626 Å
α = 109.47°, β = 109.47°, γ = 109.47°
Fractional coordinates of all 7 atoms:
1 Dy 0.0000 0.0000 0.0000
2 U 0.2500 0.5000 0.7500
3 U 0.2500 0.7500 0.5000
4 U 0.5000 0.2500 0.7500
5 U 0.5000 0.7500 0.2500
6 U 0.7500 0.2500 0.5000
7 U 0.7500 0.5000 0.2500

Summary:
- M_tot: 0.86 μB/f.u.
- DFT total energy: -9.534 eV/atom
- Volume: 180.16 Å³/cell
- Energy of formation: 0.799 eV per atom



Material: DyU4
Method: DFT, GGA-PBE
State: relaxed

a = 5.3028 Å, b = 5.3028 Å, c = 5.3028 Å
α = 90.00°, β = 90.00°, γ = 90.00°
Fractional coordinates of all 5 atoms:
1 Dy 0.0000 0.0000 0.0000
2 U 0.0000 0.0000 0.5000
3 U 0.0000 0.5000 0.0000
4 U 0.5000 0.0000 0.0000
5 U 0.5000 0.5000 0.5000

Summary:
- M_tot: 10.69 μB/f.u.
- DFT total energy: -8.012 eV/atom
- Volume: 149.11 Å³/cell
- Energy of formation: 1.939 eV per atom



Material: Dy2UZn
Method: DFT, GGA-PBE
State: relaxed

a = 11.5170 Å, b = 11.5170 Å, c = 11.5170 Å
α = 15.97°, β = 15.97°, γ = 15.97°
Fractional coordinates of all 4 atoms:
1 Dy 0.0958 0.0958 0.0958
2 Dy 0.9042 0.9042 0.9042
3 U 0.0000 0.0000 0.0000
4 Zn 0.5000 0.5000 0.5000

Summary:
- M_tot: 2.30 μB/f.u.
- DFT total energy: -5.067 eV/atom
- Volume: 100.80 Å³/cell
- Energy of formation: 0.375 eV per atom



Material: DyUZn4
Method: DFT, GGA-PBE
State: relaxed

a = 5.4376 Å, b = 5.4376 Å, c = 5.4376 Å
α = 60.00°, β = 60.00°, γ = 60.00°
Fractional coordinates of all 6 atoms:
1 Dy 0.0000 0.0000 0.0000
2 U 0.7500 0.7500 0.7500
3 Zn 0.3751 0.3751 0.3751
4 Zn 0.3751 0.3751 0.8748
5 Zn 0.3751 0.8748 0.3751
6 Zn 0.8748 0.3751 0.3751

Summary:
- M_tot: 2.50 μB/f.u.
- DFT total energy: -3.564 eV/atom
- Volume: 113.69 Å³/cell
- Energy of formation: -0.066 eV per atom